Ti3ReTe GGA-PBE optimized geometry; crystal system = cubic; formation energy without anion corrections = 0.41 eV per atom; space-group type = Pm-3m, No. 221; total moment = 0.000 μB per atom; VASP energy = -7.4404 eV per atom
1.0
-0.8896 -1.2316 4.5367
-2.9454 -3.4525 -1.5149
3.6638 -3.0746 -0.1162
Re Te Ti
1 1 3
Direct
0.0000 0.0000 0.0000
0.5000 0.5000 0.5000
0.0000 0.5000 0.0000
0.0000 0.0000 0.5000
0.5000 0.0000 0.0000